(1)
Material: RbScB3
Method: DFT, PBE
State: optimized geometry

```
data_RbScB3
_chemical_formula_sum 'Rb1 Sc1 B3'
_cell_length_a 4.531
_cell_length_b 4.531
_cell_length_c 4.531
_cell_angle_alpha 90.00
_cell_angle_beta 90.00
_cell_angle_gamma 90.00
_space_group_name_H-M_alt 'P m -3 m'
_space_group_IT_number 221
_space_group_name_Hall '-P 4 2 3'
loop_
_atom_site_label
_atom_site_type_symbol
_atom_site_fract_x
_atom_site_fract_y
_atom_site_fract_z
Rb1 Rb 0.000 0.000 0.000
Sc1 Sc 0.500 0.500 0.500
B1 B 0.000 0.000 0.500
```

The total moment comes out at 0.43 μB per formula unit. As for the relative energy among the computed polymorphs: 1.156 eV/atom. Its formation enthalpy at 0 K is 2.920 eV per atom.

=====

(2)
Material: Rb2ScB
Method: DFT, PBE
State: optimized geometry

```
data_Rb2ScB
_chemical_formula_sum 'Rb8 Sc4 B4'
_cell_length_a 13.039
_cell_length_b 13.039
_cell_length_c 4.590
_cell_angle_alpha 90.00
_cell_angle_beta 90.00
_cell_angle_gamma 90.00
_space_group_name_H-M_alt 'I -4 2 d'
_space_group_IT_number 122
_space_group_name_Hall 'I -4 2bw'
loop_
_atom_site_label
_atom_site_type_symbol
_atom_site_fract_x
_atom_site_fract_y
_atom_site_fract_z
Rb1 Rb 0.072 0.750 0.125
Sc1 Sc 0.000 0.000 0.500
B1 B 0.000 0.000 0.000
```

The total moment comes out at 0.28 μB per formula unit. Its formation enthalpy at 0 K is 0.859 eV per atom.

=====

(3)
Material: Rb2ScBSe4
Method: DFT, PBE
State: optimized geometry

```
data_Rb2ScBSe4
_chemical_formula_sum 'Rb16 Sc8 B8 Se32'
_cell_length_a 5.814
_cell_length_b 14.468
_cell_length_c 25.135
_cell_angle_alpha 90.00
_cell_angle_beta 90.00
_cell_angle_gamma 90.00
_space_group_name_H-M_alt 'F d d d'
_space_group_IT_number 70
loop_
_space_group_symop_operation_xyz
'x,y,z'
'-x,-y,-z'
'-x+1/4,-y+1/4,z'
'x+1/4,y+1/4,-z'
'x,-y+1/4,-z+1/4'
'-x,y+1/4,z+1/4'
'-x+1/4,y,-z+1/4'
'x+1/4,-y,z+1/4'
'x,y+1/2,z+1/2'
'-x,-y+1/2,-z+1/2'
'-x+1/4,-y+3/4,z+1/2'
'x+1/4,y+3/4,-z+1/2'
'x,-y+3/4,-z+3/4'
'-x,y+3/4,z+3/4'
'-x+1/4,y+1/2,-z+3/4'
'x+1/4,-y+1/2,z+3/4'
'x+1/2,y,z+1/2'
'-x+1/2,-y,-z+1/2'
'-x+3/4,-y+1/4,z+1/2'
'x+3/4,y+1/4,-z+1/2'
'x+1/2,-y+1/4,-z+3/4'
'-x+1/2,y+1/4,z+3/4'
'-x+3/4,y,-z+3/4'
'x+3/4,-y,z+3/4'
'x+1/2,y+1/2,z'
'-x+1/2,-y+1/2,-z'
'-x+3/4,-y+3/4,z'
'x+3/4,y+3/4,-z'
'x+1/2,-y+3/4,-z+1/4'
'-x+1/2,y+3/4,z+1/4'
'-x+3/4,y+1/2,-z+1/4'
'x+3/4,-y+1/2,z+1/4'
loop_
_atom_site_label
_atom_site_type_symbol
_atom_site_fract_x
_atom_site_fract_y
_atom_site_fract_z
Rb1 Rb 0.125 0.125 0.304
Sc1 Sc 0.125 0.125 0.125
B1 B 0.125 0.125 0.625
Se1 Se 0.071 0.287 0.825
```

The raw total energy comes out at -37.0 eV per formula unit. The total moment comes out at 0.00 μB per formula unit.

=====

(4)
Material: RbScSiB2
Method: DFT, PBE
State: optimized geometry

```
data_RbScSiB2
_chemical_formula_sum 'Rb1 Sc1 Si1 B2'
_cell_length_a 4.143
_cell_length_b 4.143
_cell_length_c 5.351
_cell_angle_alpha 90.00
_cell_angle_beta 90.00
_cell_angle_gamma 90.00
_space_group_name_H-M_alt 'P 4/m m m'
_space_group_IT_number 123
_space_group_name_Hall '-P 4 2'
loop_
_atom_site_label
_atom_site_type_symbol
_atom_site_fract_x
_atom_site_fract_y
_atom_site_fract_z
Rb1 Rb 0.000 0.000 0.000
Sc1 Sc 0.500 0.500 0.000
Si1 Si 0.000 0.000 0.500
B1 B 0.000 0.500 0.500
```

The raw total energy comes out at -18.2 eV per formula unit. The total moment comes out at 0.39 μB per formula unit.

=====

(5)
Material: RbScVB2
Method: DFT, PBE
State: optimized geometry

```
data_RbScVB2
_chemical_formula_sum 'Rb1 Sc1 V1 B2'
_cell_length_a 4.623
_cell_length_b 4.623
_cell_length_c 4.508
_cell_angle_alpha 90.00
_cell_angle_beta 90.00
_cell_angle_gamma 90.00
_space_group_name_H-M_alt 'P 4/m m m'
_space_group_IT_number 123
_space_group_name_Hall '-P 4 2'
loop_
_atom_site_label
_atom_site_type_symbol
_atom_site_fract_x
_atom_site_fract_y
_atom_site_fract_z
Rb1 Rb 0.000 0.000 0.000
Sc1 Sc 0.500 0.500 0.500
V1 V 0.000 0.000 0.500
B1 B 0.000 0.500 0.000
```

The total moment comes out at 0.00 μB per formula unit. Its formation enthalpy at 0 K is 2.888 eV per atom.

=====

(6)
Material: Rb3BSe3
Method: DFT, PBE
State: optimized geometry

```
data_Rb3BSe3
_chemical_formula_sum 'Rb12 B4 Se12'
_cell_length_a 5.137
_cell_length_b 14.100
_cell_length_c 16.007
_cell_angle_alpha 90.00
_cell_angle_beta 108.47
_cell_angle_gamma 90.00
_space_group_name_H-M_alt 'P 1 21/c 1'
_space_group_IT_number 14
_space_group_name_Hall '-P 2ybc'
loop_
_atom_site_label
_atom_site_type_symbol
_atom_site_fract_x
_atom_site_fract_y
_atom_site_fract_z
Rb1 Rb 0.018 0.171 0.264
Rb2 Rb 0.174 0.069 0.922
Rb3 Rb 0.320 0.136 0.570
B1 B 0.331 0.745 0.583
Se1 Se 0.215 0.682 0.465
Se2 Se 0.338 0.615 0.090
Se3 Se 0.438 0.666 0.692
```

The total moment comes out at 0.00 μB per formula unit. As for the relative energy among the computed polymorphs: 0.000 eV/atom.

=====

(7)
Material: RbBSe4
Method: DFT, PBE
State: optimized geometry

```
data_RbBSe4
_chemical_formula_sum 'Rb4 B4 Se16'
_cell_length_a 16.236
_cell_length_b 7.123
_cell_length_c 9.444
_cell_angle_alpha 90.00
_cell_angle_beta 121.33
_cell_angle_gamma 90.00
_space_group_name_H-M_alt 'C 1 2/m 1'
_space_group_IT_number 12
_space_group_name_Hall '-C 2y'
loop_
_atom_site_label
_atom_site_type_symbol
_atom_site_fract_x
_atom_site_fract_y
_atom_site_fract_z
Rb1 Rb 0.223 0.000 0.153
B1 B 0.093 0.500 0.066
Se1 Se 0.000 0.285 0.000
Se2 Se 0.069 0.345 0.450
Se3 Se 0.229 0.500 0.167
```

The total moment comes out at 0.00 μB per formula unit. As for the relative energy among the computed polymorphs: 0.003 eV/atom.

=====

(8)
Material: Rb4B9Se9
Method: DFT, PBE
State: optimized geometry

```
data_Rb4B9Se9
_chemical_formula_sum 'Rb8 B18 Se18'
_cell_length_a 10.633
_cell_length_b 10.898
_cell_length_c 11.272
_cell_angle_alpha 91.24
_cell_angle_beta 105.27
_cell_angle_gamma 110.52
_space_group_name_H-M_alt 'P -1'
_space_group_IT_number 2
_space_group_name_Hall '-P 1'
loop_
_atom_site_label
_atom_site_type_symbol
_atom_site_fract_x
_atom_site_fract_y
_atom_site_fract_z
Rb1 Rb 0.119 0.380 0.132
Rb2 Rb 0.139 0.004 0.363
Rb3 Rb 0.244 0.631 0.478
Rb4 Rb 0.318 0.385 0.757
B1 B 0.132 0.820 0.686
B2 B 0.166 0.764 0.141
B3 B 0.338 0.967 0.015
B4 B 0.371 0.862 0.915
B5 B 0.380 0.022 0.877
B6 B 0.433 0.262 0.247
B7 B 0.439 0.872 0.080
B8 B 0.454 0.133 0.018
B9 B 0.491 0.040 0.142
Se1 Se 0.018 0.654 0.202
Se2 Se 0.029 0.259 0.455
Se3 Se 0.149 0.912 0.047
Se4 Se 0.211 0.712 0.800
Se5 Se 0.227 0.016 0.724
Se6 Se 0.343 0.729 0.171
Se7 Se 0.409 0.288 0.069
Se8 Se 0.420 0.385 0.363
Se9 Se 0.475 0.105 0.303
```

The raw total energy comes out at -108.3 eV per formula unit. The total moment comes out at 0.00 μB per formula unit.

=====

(9)
Material: Rb3BSe
Method: DFT, PBE
State: optimized geometry

```
data_Rb3BSe
_chemical_formula_sum 'Rb3 B1 Se1'
_cell_length_a 6.567
_cell_length_b 6.567
_cell_length_c 6.567
_cell_angle_alpha 90.00
_cell_angle_beta 90.00
_cell_angle_gamma 90.00
_space_group_name_H-M_alt 'P m -3 m'
_space_group_IT_number 221
_space_group_name_Hall '-P 4 2 3'
loop_
_atom_site_label
_atom_site_type_symbol
_atom_site_fract_x
_atom_site_fract_y
_atom_site_fract_z
Rb1 Rb 0.000 0.000 0.500
B1 B 0.500 0.500 0.500
Se1 Se 0.000 0.000 0.000
```

The total moment comes out at 2.00 μB per formula unit. As for the relative energy among the computed polymorphs: 0.000 eV/atom.

=====

(10)
Material: Rb3BSe4
Method: DFT, PBE
State: optimized geometry

```
data_Rb3BSe4
_chemical_formula_sum 'Rb6 B2 Se8'
_cell_length_a 5.355
_cell_length_b 7.406
_cell_length_c 14.889
_cell_angle_alpha 90.00
_cell_angle_beta 90.00
_cell_angle_gamma 90.00
_space_group_name_H-M_alt 'I m m m'
_space_group_IT_number 71
_space_group_name_Hall '-I 2 2'
loop_
_atom_site_label
_atom_site_type_symbol
_atom_site_fract_x
_atom_site_fract_y
_atom_site_fract_z
Rb1 Rb 0.000 0.000 0.000
Rb2 Rb 0.000 0.500 0.211
B1 B 0.000 0.000 0.500
Se1 Se 0.000 0.204 0.401
```

The raw total energy comes out at -27.3 eV per formula unit. The total moment comes out at 0.00 μB per formula unit.

=====

(11)
Material: Rb3B2Se4
Method: DFT, PBE
State: optimized geometry

```
data_Rb3B2Se4
_chemical_formula_sum 'Rb12 B8 Se16'
_cell_length_a 12.802
_cell_length_b 10.239
_cell_length_c 10.259
_cell_angle_alpha 90.00
_cell_angle_beta 105.82
_cell_angle_gamma 90.00
_space_group_name_H-M_alt 'C 1 2/c 1'
_space_group_IT_number 15
_space_group_name_Hall '-C 2yc'
loop_
_atom_site_label
_atom_site_type_symbol
_atom_site_fract_x
_atom_site_fract_y
_atom_site_fract_z
Rb1 Rb 0.000 0.022 0.250
Rb2 Rb 0.162 0.362 0.660
B1 B 0.221 0.124 0.002
Se1 Se 0.135 0.292 0.996
Se2 Se 0.194 0.048 0.565
```

The raw total energy comes out at -35.4 eV per formula unit. The total moment comes out at 0.91 μB per formula unit.

=====

(12)
Material: RbBSe4
Method: DFT, PBE
State: optimized geometry

```
data_RbBSe4
_chemical_formula_sum 'Rb4 B4 Se16'
_cell_length_a 13.004
_cell_length_b 7.139
_cell_length_c 8.838
_cell_angle_alpha 90.00
_cell_angle_beta 95.47
_cell_angle_gamma 90.00
_space_group_name_H-M_alt 'C 1 2/m 1'
_space_group_IT_number 12
_space_group_name_Hall '-C 2y'
loop_
_atom_site_label
_atom_site_type_symbol
_atom_site_fract_x
_atom_site_fract_y
_atom_site_fract_z
Rb1 Rb 0.193 0.000 0.232
B1 B 0.096 0.500 0.061
Se1 Se 0.000 0.285 0.000
Se2 Se 0.039 0.300 0.618
Se3 Se 0.232 0.500 0.155
```

The total moment comes out at 0.00 μB per formula unit. As for the relative energy among the computed polymorphs: 0.000 eV/atom.